Crystalline BaLaZnGe at its relaxed geometry. Source: Alexandria, functional GGA-PBE.

a = 7.793 Å, b = 7.793 Å, c = 7.793 Å
α = 90.00°, β = 90.00°, γ = 90.00°
Space group F-43m (No. 216)
Asymmetric unit:
Ba 0.000 0.000 0.000 (multiplicity 4)
La 0.000 0.000 0.500 (multiplicity 4)
Zn 0.250 0.250 0.250 (multiplicity 4)
Ge 0.250 0.250 0.750 (multiplicity 4)

D(E_F) ... 18.91 states/eV/cell
Energy ... -56.61 eV per cell
Size of the total moment ... 0.0001 μB per atom